Density functional theory data (GGA-PBE) for PaNbH after structural relaxation.

Calculated values
Magnetic moment = 0.0 μB per formula unit
Space group = I4/mmm, No. 139
Energy above the most stable polymorph in this dataset = 0.94 eV per formula unit
V = 104 Å³ per cell

a = 3.633 Å, b = 3.633 Å, c = 8.255 Å
α = 102.71°, β = 102.71°, γ = 90.00°
Fractional coordinates of all 6 atoms:
H (0.684, 0.684, 0.367)
H (0.316, 0.316, 0.633)
Nb (0.000, 0.500, 0.000)
Nb (0.500, 0.000, 0.000)
Pa (0.170, 0.170, 0.340)
Pa (0.830, 0.830, 0.660)

***

Density functional theory data (GGA-PBE) for PaNbH after structural relaxation.

Calculated values
Magnetic moment = 0.0 μB per formula unit
Space group = I4mm, No. 107
Energy above the most stable polymorph in this dataset = 0.62 eV per formula unit
V = 47 Å³ per cell

a = 2.905 Å, b = 2.905 Å, c = 5.909 Å
α = 104.23°, β = 104.23°, γ = 90.00°
Fractional coordinates of all 3 atoms:
H (0.231, 0.231, 0.463)
Nb (0.753, 0.753, 0.507)
Pa (0.015, 0.015, 0.031)

***

Density functional theory data (GGA-PBE) for PaNbH after structural relaxation.

Calculated values
Magnetic moment = 0.0 μB per formula unit
Space group = P3m1, No. 156
Energy above the most stable polymorph in this dataset = 0.00 eV per formula unit
V = 47 Å³ per cell

a = 5.675 Å, b = 3.085 Å, c = 3.085 Å
α = 120.00°, β = 90.00°, γ = 90.00°
Fractional coordinates of all 3 atoms:
H (0.376, 0.667, 0.333)
Nb (0.569, 0.333, 0.667)
Pa (0.054, 0.000, 0.000)

***

Density functional theory data (GGA-PBE) for Pa2NbH after structural relaxation.

Calculated values
Magnetic moment = 0.0 μB per formula unit
Space group = R-3m, No. 166
Energy above the most stable polymorph in this dataset = 0.00 eV per formula unit
V = 72 Å³ per cell

a = 3.109 Å, b = 3.109 Å, c = 8.732 Å
α = 79.74°, β = 79.74°, γ = 60.00°
Fractional coordinates of all 4 atoms:
H (0.000, 0.000, 0.000)
Nb (0.500, 0.500, 0.500)
Pa (0.270, 0.270, 0.189)
Pa (0.730, 0.730, 0.811)

***

Density functional theory data (GGA-PBE) for Pa2NbH after structural relaxation.

Calculated values
Magnetic moment = 0.0 μB per formula unit
Space group = P4/mmm, No. 123
Energy above the most stable polymorph in this dataset = 0.60 eV per formula unit
V = 71 Å³ per cell

a = 3.025 Å, b = 3.025 Å, c = 7.715 Å
α = 90.00°, β = 90.00°, γ = 90.00°
Fractional coordinates of all 4 atoms:
H (0.500, 0.500, 0.000)
Nb (0.500, 0.500, 0.500)
Pa (0.000, 0.000, 0.809)
Pa (0.000, 0.000, 0.191)

***

Density functional theory data (GGA-PBE) for PaNbH2 after structural relaxation.

Calculated values
Energy = -26.9 eV per cell
Magnetic moment = 0.0 μB per formula unit
Space group = R-3m, No. 166
V = 48 Å³ per cell

a = 3.059 Å, b = 3.059 Å, c = 6.211 Å
α = 75.74°, β = 75.74°, γ = 60.00°
Fractional coordinates of all 4 atoms:
H (0.226, 0.226, 0.321)
H (0.774, 0.774, 0.679)
Nb (0.500, 0.500, 0.500)
Pa (0.000, 0.000, 0.000)

***

Density functional theory data (GGA-PBE) for Pa2NbH8 after structural relaxation.

Calculated values
Energy = -57.8 eV per cell
Magnetic moment = 0.4 μB per formula unit
Space group = Immm, No. 71
V = 91 Å³ per cell

a = 3.256 Å, b = 5.970 Å, c = 5.777 Å
α = 121.11°, β = 106.37°, γ = 90.00°
Each line ends with the local moment (μB).
Fractional coordinates of all 11 atoms:
Pa (0.157, 0.657, 0.314)  0.06
Pa (0.843, 0.343, 0.686)  0.06
Nb (0.500, 0.000, 0.000)  0.27
H (0.658, 0.919, 0.315)  0.00
H (0.342, 0.604, 0.685)  0.00
H (0.168, 0.168, 0.336)  0.00
H (0.000, 0.213, 0.000)  0.00
H (0.832, 0.832, 0.664)  0.00
H (0.658, 0.396, 0.315)  0.00
H (0.342, 0.081, 0.685)  0.00
H (0.000, 0.787, 0.000)  0.00

***

Density functional theory data (GGA-PBE) for PaNb2H6 after structural relaxation.

Calculated values
Energy = -50.9 eV per cell
Magnetic moment = 0.0 μB per formula unit
Space group = P6/m, No. 175
V = 84 Å³ per cell

a = 3.053 Å, b = 5.649 Å, c = 5.649 Å
α = 120.00°, β = 90.00°, γ = 90.00°
Fractional coordinates of all 9 atoms:
Pa (0.500, 0.000, 0.000)
Nb (0.999, 0.333, 0.667)
Nb (0.001, 0.667, 0.333)
H (0.501, 0.743, 0.180)
H (0.501, 0.438, 0.257)
H (0.501, 0.820, 0.562)
H (0.499, 0.257, 0.820)
H (0.499, 0.562, 0.743)
H (0.499, 0.180, 0.438)

***

Density functional theory data (GGA-PBE) for Nb2HPb2 after structural relaxation.

Calculated values
Energy = -28.8 eV per cell
Magnetic moment = 0.0 μB per formula unit
Space group = P4/mmm, No. 123
V = 90 Å³ per cell

a = 4.951 Å, b = 4.951 Å, c = 3.655 Å
α = 90.00°, β = 90.00°, γ = 90.00°
Fractional coordinates of all 5 atoms:
Pb (0.000, 0.500, 0.000)
Pb (0.500, 0.000, 0.000)
H (0.000, 0.000, 0.000)
Nb (0.500, 0.500, 0.500)
Nb (0.000, 0.000, 0.500)

***

Density functional theory data (GGA-PBE) for Nb3HPb after structural relaxation.

Calculated values
Magnetic moment = 0.0 μB per formula unit
Space group = Pm-3m, No. 221
Energy above the most stable polymorph in this dataset = 0.00 eV per formula unit
V = 79 Å³ per cell

a = 4.293 Å, b = 4.293 Å, c = 4.293 Å
α = 90.00°, β = 90.00°, γ = 90.00°
Fractional coordinates of all 5 atoms:
Pb (0.500, 0.500, 0.500)
H (0.000, 0.000, 0.000)
Nb (0.000, 0.500, 0.000)
Nb (0.000, 0.000, 0.500)
Nb (0.500, 0.000, 0.000)

***

Density functional theory data (GGA-PBE) for NbHPb3 after structural relaxation.

Calculated values
Magnetic moment = 0.7 μB per formula unit
Space group = Pm-3m, No. 221
Energy above the most stable polymorph in this dataset = 0.81 eV per formula unit
V = 167 Å³ per cell

a = 5.508 Å, b = 5.508 Å, c = 5.508 Å
α = 90.00°, β = 90.00°, γ = 90.00°
Each line ends with the local moment (μB).
Fractional coordinates of all 5 atoms:
Pb (0.000, 0.500, 0.000)  -0.01
Pb (0.000, 0.000, 0.500)  -0.03
Pb (0.500, 0.000, 0.000)  0.00
H (0.500, 0.500, 0.500)  0.28
Nb (0.000, 0.000, 0.000)  0.10

***

Density functional theory data (GGA-PBE) for NbHPb3 after structural relaxation.

Calculated values
Magnetic moment = 2.0 μB per formula unit
Space group = Pm-3m, No. 221
Energy above the most stable polymorph in this dataset = 0.00 eV per formula unit
V = 111 Å³ per cell

a = 4.806 Å, b = 4.806 Å, c = 4.806 Å
α = 90.00°, β = 90.00°, γ = 90.00°
Each line ends with the local moment (μB).
Fractional coordinates of all 5 atoms:
Pb (0.000, 0.500, 0.000)  -0.02
Pb (0.000, 0.000, 0.500)  -0.03
Pb (0.500, 0.000, 0.000)  0.00
H (0.000, 0.000, 0.000)  -0.01
Nb (0.500, 0.500, 0.500)  1.71

***

Density functional theory data (GGA-PBE) for NbHPb after structural relaxation.

Calculated values
Energy = -34.3 eV per cell
Magnetic moment = 0.0 μB per formula unit
Space group = P-1, No. 2
V = 107 Å³ per cell

a = 3.530 Å, b = 3.530 Å, c = 8.915 Å
α = 101.18°, β = 101.28°, γ = 89.89°
Fractional coordinates of all 6 atoms:
Pb (0.094, 0.096, 0.686)
Pb (0.906, 0.904, 0.314)
H (0.247, 0.752, 0.000)
H (0.753, 0.248, 0.000)
Nb (0.701, 0.702, 0.905)
Nb (0.299, 0.298, 0.095)

***

Density functional theory data (GGA-PBE) for Nb3HPb after structural relaxation.

Calculated values
Magnetic moment = 0.0 μB per formula unit
Space group = Pm-3m, No. 221
Energy above the most stable polymorph in this dataset = 13.51 eV per formula unit
V = 142 Å³ per cell

a = 5.212 Å, b = 5.212 Å, c = 5.212 Å
α = 90.00°, β = 90.00°, γ = 90.00°
Fractional coordinates of all 5 atoms:
Pb (0.000, 0.000, 0.000)
H (0.500, 0.500, 0.500)
Nb (0.000, 0.500, 0.000)
Nb (0.000, 0.000, 0.500)
Nb (0.500, 0.000, 0.000)

***

Density functional theory data (GGA-PBE) for Sc2NbHPb after structural relaxation.

Calculated values
Energy = -31.1 eV per cell
Magnetic moment = 0.0 μB per formula unit
Space group = P4/mmm, No. 123
V = 87 Å³ per cell

a = 4.617 Å, b = 4.617 Å, c = 4.065 Å
α = 90.00°, β = 90.00°, γ = 90.00°
Fractional coordinates of all 5 atoms:
Pb (0.500, 0.500, 0.500)
Sc (0.000, 0.500, 0.000)
Sc (0.500, 0.000, 0.000)
Nb (0.000, 0.000, 0.500)
H (0.000, 0.000, 0.000)

***

Density functional theory data (GGA-PBE) for NbSnH2Pb after structural relaxation.

Calculated values
Energy = -21.5 eV per cell
Magnetic moment = 0.0 μB per formula unit
Space group = P4/mmm, No. 123
V = 95 Å³ per cell

a = 3.960 Å, b = 6.070 Å, c = 3.960 Å
α = 90.00°, β = 90.00°, γ = 90.00°
Fractional coordinates of all 5 atoms:
Pb (0.500, 0.500, 0.500)
H (0.000, 0.000, 0.500)
H (0.500, 0.000, 0.000)
Nb (0.000, 0.500, 0.000)
Sn (0.000, 0.000, 0.000)

***

Density functional theory data (GGA-PBE) for Ti2NbHPb after structural relaxation.

Calculated values
Energy = -33.8 eV per cell
Magnetic moment = 0.0 μB per formula unit
Space group = P4/mmm, No. 123
V = 76 Å³ per cell

a = 4.412 Å, b = 4.412 Å, c = 3.892 Å
α = 90.00°, β = 90.00°, γ = 90.00°
Fractional coordinates of all 5 atoms:
Pb (0.500, 0.500, 0.500)
H (0.000, 0.000, 0.000)
Nb (0.000, 0.000, 0.500)
Ti (0.000, 0.500, 0.000)
Ti (0.500, 0.000, 0.000)

***

Density functional theory data (GGA-PBE) for NbHPd2 after structural relaxation.

Calculated values
Magnetic moment = 0.0 μB per formula unit
Space group = R-3m, No. 166
Energy above the most stable polymorph in this dataset = 0.42 eV per formula unit
V = 54 Å³ per cell

a = 2.854 Å, b = 2.854 Å, c = 7.789 Å
α = 79.44°, β = 79.44°, γ = 60.00°
Fractional coordinates of all 4 atoms:
H (0.500, 0.500, 0.500)
Nb (0.000, 0.000, 0.000)
Pd (0.113, 0.113, 0.662)
Pd (0.887, 0.887, 0.338)

***

Density functional theory data (GGA-PBE) for NbHPd2 after structural relaxation.

Calculated values
Magnetic moment = 0.0 μB per formula unit
Space group = I-42d, No. 122
Energy above the most stable polymorph in this dataset = 0.11 eV per formula unit
V = 106 Å³ per cell

a = 6.569 Å, b = 6.569 Å, c = 5.253 Å
α = 51.30°, β = 51.30°, γ = 90.00°
Fractional coordinates of all 8 atoms:
H (0.500, 0.500, 0.000)
H (0.250, 0.750, 0.500)
Nb (0.000, 0.000, 0.000)
Nb (0.750, 0.250, 0.500)
Pd (0.520, 0.125, 0.250)
Pd (0.230, 0.625, 0.250)
Pd (0.375, 0.480, 0.750)
Pd (0.875, 0.770, 0.750)

***

Density functional theory data (GGA-PBE) for NbH2Pd2 after structural relaxation.

Calculated values
Magnetic moment = 0.0 μB per formula unit
Space group = P4/mbm, No. 127
Energy above the most stable polymorph in this dataset = 0.00 eV per formula unit
V = 118 Å³ per cell

a = 6.437 Å, b = 6.437 Å, c = 2.858 Å
α = 90.00°, β = 90.00°, γ = 90.00°
Fractional coordinates of all 10 atoms:
H (0.267, 0.767, 0.000)
H (0.767, 0.733, 0.000)
H (0.733, 0.233, 0.000)
H (0.233, 0.267, 0.000)
Nb (0.000, 0.000, 0.000)
Nb (0.500, 0.500, 0.000)
Pd (0.152, 0.652, 0.500)
Pd (0.652, 0.848, 0.500)
Pd (0.848, 0.348, 0.500)
Pd (0.348, 0.152, 0.500)

***

Density functional theory data (GGA-PBE) for NbHPd2 after structural relaxation.

Calculated values
Magnetic moment = 0.0 μB per formula unit
Space group = P4/mmm, No. 123
Energy above the most stable polymorph in this dataset = 0.00 eV per formula unit
V = 52 Å³ per cell

a = 2.792 Å, b = 2.792 Å, c = 6.729 Å
α = 90.00°, β = 90.00°, γ = 90.00°
Fractional coordinates of all 4 atoms:
H (0.500, 0.500, 0.000)
Nb (0.500, 0.500, 0.500)
Pd (0.000, 0.000, 0.800)
Pd (0.000, 0.000, 0.200)

***

Density functional theory data (GGA-PBE) for Nb3HPd after structural relaxation.

Calculated values
Magnetic moment = 0.0 μB per formula unit
Space group = Pm-3m, No. 221
Energy above the most stable polymorph in this dataset = 10.49 eV per formula unit
V = 116 Å³ per cell

a = 4.884 Å, b = 4.884 Å, c = 4.884 Å
α = 90.00°, β = 90.00°, γ = 90.00°
Fractional coordinates of all 5 atoms:
H (0.500, 0.500, 0.500)
Nb (0.000, 0.500, 0.000)
Nb (0.000, 0.000, 0.500)
Nb (0.500, 0.000, 0.000)
Pd (0.000, 0.000, 0.000)

***

Density functional theory data (GGA-PBE) for NbH2Pd2 after structural relaxation.

Calculated values
Magnetic moment = 0.0 μB per formula unit
Space group = I4/mmm, No. 139
Energy above the most stable polymorph in this dataset = 0.75 eV per formula unit
V = 61 Å³ per cell

a = 4.409 Å, b = 4.409 Å, c = 4.432 Å
α = 60.17°, β = 60.17°, γ = 90.00°
Fractional coordinates of all 5 atoms:
H (0.309, 0.309, 0.382)
H (0.691, 0.691, 0.618)
Nb (0.000, 0.000, 0.000)
Pd (0.750, 0.250, 0.500)
Pd (0.250, 0.750, 0.500)

***

Density functional theory data (GGA-PBE) for Nb5H4Pd after structural relaxation.

Calculated values
Energy = -70.4 eV per cell
Magnetic moment = 0.0 μB per formula unit
Space group = C2/m, No. 12
V = 116 Å³ per cell

a = 2.874 Å, b = 5.865 Å, c = 7.169 Å
α = 101.46°, β = 101.56°, γ = 90.00°
Fractional coordinates of all 10 atoms:
Nb (0.162, 0.336, 0.324)
Nb (0.162, 0.826, 0.324)
Nb (0.838, 0.174, 0.676)
Nb (0.500, 0.500, 0.000)
Nb (0.838, 0.664, 0.676)
H (0.690, 0.095, 0.379)
H (0.997, 0.260, 0.993)
H (0.310, 0.905, 0.621)
H (0.003, 0.740, 0.007)
Pd (0.500, 0.000, 0.000)

***

Density functional theory data (GGA-PBE) for Nb3HPd after structural relaxation.

Calculated values
Magnetic moment = 0.0 μB per formula unit
Space group = Pm-3m, No. 221
Energy above the most stable polymorph in this dataset = 0.06 eV per formula unit
V = 72 Å³ per cell

a = 4.165 Å, b = 4.165 Å, c = 4.165 Å
α = 90.00°, β = 90.00°, γ = 90.00°
Fractional coordinates of all 5 atoms:
H (0.000, 0.000, 0.000)
Nb (0.000, 0.500, 0.000)
Nb (0.000, 0.000, 0.500)
Nb (0.500, 0.000, 0.000)
Pd (0.500, 0.500, 0.500)

***

Density functional theory data (GGA-PBE) for NbHPd2 after structural relaxation.

Calculated values
Magnetic moment = 0.0 μB per formula unit
Space group = Fm-3m, No. 225
Energy above the most stable polymorph in this dataset = 1.82 eV per formula unit
V = 58 Å³ per cell

a = 4.344 Å, b = 4.344 Å, c = 4.344 Å
α = 60.00°, β = 60.00°, γ = 60.00°
Fractional coordinates of all 4 atoms:
H (0.000, 0.000, 0.000)
Nb (0.500, 0.500, 0.500)
Pd (0.250, 0.250, 0.250)
Pd (0.750, 0.750, 0.750)

***

Density functional theory data (GGA-PBE) for NbHPd4 after structural relaxation.

Calculated values
Energy = -66.5 eV per cell
Magnetic moment = 0.0 μB per formula unit
Space group = I4_1md, No. 109
V = 195 Å³ per cell

a = 6.559 Å, b = 6.559 Å, c = 6.559 Å
α = 100.06°, β = 100.06°, γ = 130.59°
Fractional coordinates of all 12 atoms:
Nb (0.166, 0.166, 0.000)
Nb (0.916, 0.416, 0.500)
H (0.669, 0.669, 0.000)
H (0.419, 0.919, 0.500)
Pd (0.282, 0.982, 0.701)
Pd (0.801, 0.599, 0.799)
Pd (0.732, 0.532, 0.201)
Pd (0.349, 0.051, 0.299)
Pd (0.331, 0.532, 0.799)
Pd (0.752, 0.051, 0.701)
Pd (0.801, 0.002, 0.201)
Pd (0.282, 0.581, 0.299)